1.
The following is a DFT calculation (GGA-PBE) of LiZn3Rh after structural relaxation.

Lattice parameters (Å, degrees): 4.065 4.048 8.709 90.00 103.23 90.00
Positions (direct):
Li1 0.156 0.250 0.310
Li2 0.844 0.750 0.690
Zn1 0.056 0.750 0.109
Zn2 0.248 0.750 0.501
Zn3 0.446 0.750 0.895
Zn4 0.554 0.250 0.105
Zn5 0.752 0.250 0.499
Zn6 0.944 0.250 0.891
Rh1 0.350 0.250 0.699
Rh2 0.650 0.750 0.301

For the formation energy from the elements, the calculation gives -326 meV per atom. The calculated total energy comes out at -2.943 eV per atom.

2.
The following is a DFT calculation (GGA-PBE) of CaAcTlSb after structural relaxation.

Lattice parameters (Å, degrees): 5.672 5.672 5.672 60.00 60.00 60.00
Positions (direct):
Ca1 0.000 0.000 0.000
Ac1 0.500 0.500 0.500
Tl1 0.250 0.250 0.250
Sb1 0.750 0.750 0.750

The calculated total energy comes out at -3.728 eV per atom. The value obtained for the energy relative to the elements, uncorrected is -577.9 meV/atom.

3.
The following is a DFT calculation (GGA-PBE) of Cr2ReSn after structural relaxation.

Lattice parameters (Å, degrees): 5.724 5.724 5.724 103.26 103.26 122.77
Positions (direct):
Cr1 0.076 0.625 0.951
Cr2 0.375 0.326 0.451
Cr3 0.674 0.125 0.049
Cr4 0.875 0.924 0.549
Re1 0.000 0.000 0.000
Re2 0.750 0.250 0.500
Sn1 0.250 0.750 0.500
Sn2 0.500 0.500 0.000

For the formation energy from the elements, the calculation gives 840 meV per atom. The calculated total energy comes out at -8.084 eV per atom.

4.
The following is a DFT calculation (GGA-PBE) of Sr2Mg12Ag7 after structural relaxation.

Lattice parameters (Å, degrees): 11.133 11.133 4.502 90.00 90.00 120.00
Positions (direct):
Sr1 0.000 0.000 0.000
Sr2 0.333 0.667 0.500
Mg1 0.041 0.751 0.500
Mg2 0.113 0.382 0.000
Mg3 0.249 0.290 0.500
Mg4 0.268 0.887 0.000
Mg5 0.385 0.200 0.000
Mg6 0.547 0.122 0.500
Mg7 0.575 0.453 0.500
Mg8 0.618 0.732 0.000
Mg9 0.710 0.959 0.500
Mg10 0.800 0.184 0.000
Mg11 0.816 0.615 0.000
Mg12 0.878 0.425 0.500
Ag1 0.059 0.600 0.000
Ag2 0.251 0.033 0.500
Ag3 0.400 0.459 0.000
Ag4 0.541 0.941 0.000
Ag5 0.667 0.333 0.000
Ag6 0.782 0.749 0.500
Ag7 0.967 0.218 0.500

For the formation energy from the elements, the calculation gives -194 meV per atom. The calculated total energy comes out at -2.216 eV per atom.

Q: Which formula does entry 4 have?
A: Sr2Mg12Ag7

Q: calculated total energy of number 1 (LiZn3Rh)?
A: -2.943 eV per atom

Q: What is the calculated total energy in the first record?
A: -2.943 eV per atom

Q: Which value of calculated total energy does entry 1 give?
A: -2.943 eV per atom